1.
# NbS PBE relaxed
data_NbS
_symmetry_space_group_name_H-M 'P 1'
_symmetry_Int_Tables_number 1
_symmetry_space_group_name_Hall 'P 1'
_cell_length_a 9.8829
_cell_length_b 9.8829
_cell_length_c 3.2021
_cell_angle_alpha 90.00
_cell_angle_beta 90.00
_cell_angle_gamma 90.00
loop_
_atom_site_label
_atom_site_type_symbol
_atom_site_fract_x
_atom_site_fract_y
_atom_site_fract_z
Nb1 Nb 0.3787 0.1769 0.0000
Nb2 Nb 0.6213 0.8231 0.0000
Nb3 Nb 0.8231 0.3787 0.0000
Nb4 Nb 0.1769 0.6213 0.0000
Nb5 Nb 0.8787 0.6769 0.5000
Nb6 Nb 0.1213 0.3231 0.5000
Nb7 Nb 0.3231 0.8787 0.5000
Nb8 Nb 0.6769 0.1213 0.5000
S1 S 0.4054 0.7100 0.0000
S2 S 0.5946 0.2900 0.0000
S3 S 0.2900 0.4054 0.0000
S4 S 0.7100 0.5946 0.0000
S5 S 0.9054 0.2100 0.5000
S6 S 0.0946 0.7900 0.5000
S7 S 0.7900 0.9054 0.5000
S8 S 0.2100 0.0946 0.5000
# * space group: I4/m

=====

2.
# NbS PBE relaxed
data_NbS
_symmetry_space_group_name_H-M 'P 1'
_symmetry_Int_Tables_number 1
_symmetry_space_group_name_Hall 'P 1'
_cell_length_a 3.1347
_cell_length_b 4.3057
_cell_length_c 4.8556
_cell_angle_alpha 90.00
_cell_angle_beta 108.75
_cell_angle_gamma 90.00
loop_
_atom_site_label
_atom_site_type_symbol
_atom_site_fract_x
_atom_site_fract_y
_atom_site_fract_z
Nb1 Nb 0.3797 0.2500 0.7591
Nb2 Nb 0.6203 0.7500 0.2409
S1 S 0.1095 0.2500 0.2157
S2 S 0.8905 0.7500 0.7843
# * space group: P2_1/m

=====

3.
# NbS PBE relaxed
data_NbS
_symmetry_space_group_name_H-M 'P 1'
_symmetry_Int_Tables_number 1
_symmetry_space_group_name_Hall 'P 1'
_cell_length_a 4.4832
_cell_length_b 3.1759
_cell_length_c 8.9689
_cell_angle_alpha 90.00
_cell_angle_beta 101.00
_cell_angle_gamma 90.00
loop_
_atom_site_label
_atom_site_type_symbol
_atom_site_fract_x
_atom_site_fract_y
_atom_site_fract_z
Nb1 Nb 0.1936 0.0000 0.3873
Nb2 Nb 0.8064 0.0000 0.6127
Nb3 Nb 0.1936 0.5000 0.8873
Nb4 Nb 0.8064 0.5000 0.1127
S1 S 0.2968 0.0000 0.1156
S2 S 0.7032 0.0000 0.8844
S3 S 0.2968 0.5000 0.6156
S4 S 0.7032 0.5000 0.3844
# * space group: C2/m

=====

4.
# NbS PBE relaxed
data_NbS
_symmetry_space_group_name_H-M 'P 1'
_symmetry_Int_Tables_number 1
_symmetry_space_group_name_Hall 'P 1'
_cell_length_a 3.3602
_cell_length_b 5.8013
_cell_length_c 11.5766
_cell_angle_alpha 90.00
_cell_angle_beta 90.00
_cell_angle_gamma 90.00
loop_
_atom_site_label
_atom_site_type_symbol
_atom_site_fract_x
_atom_site_fract_y
_atom_site_fract_z
Nb1 Nb 0.0000 0.0006 0.8642
Nb2 Nb 0.5000 0.9994 0.6358
Nb3 Nb 0.5000 0.9994 0.3642
Nb4 Nb 0.0000 0.0006 0.1358
Nb5 Nb 0.0000 0.6664 0.5000
Nb6 Nb 0.5000 0.3336 0.0000
S1 S 0.0000 0.7198 0.7076
S2 S 0.5000 0.2802 0.7924
S3 S 0.5000 0.2802 0.2076
S4 S 0.0000 0.7198 0.2924
S5 S 0.0000 0.6624 0.0000
S6 S 0.5000 0.3376 0.5000
# * space group: Pmmn

=====

5.
# NbS PBE relaxed
data_NbS
_symmetry_space_group_name_H-M 'P 1'
_symmetry_Int_Tables_number 1
_symmetry_space_group_name_Hall 'P 1'
_cell_length_a 5.5250
_cell_length_b 5.5250
_cell_length_c 5.5250
_cell_angle_alpha 90.00
_cell_angle_beta 90.00
_cell_angle_gamma 90.00
loop_
_atom_site_label
_atom_site_type_symbol
_atom_site_fract_x
_atom_site_fract_y
_atom_site_fract_z
Nb1 Nb 0.0000 0.0000 0.0000
Nb2 Nb 0.0000 0.5000 0.5000
Nb3 Nb 0.5000 0.0000 0.5000
Nb4 Nb 0.5000 0.5000 0.0000
S1 S 0.2500 0.2500 0.2500
S2 S 0.2500 0.7500 0.7500
S3 S 0.7500 0.2500 0.7500
S4 S 0.7500 0.7500 0.2500
# * space group: F-43m

=====

6.
# NbS PBE relaxed
data_NbS
_symmetry_space_group_name_H-M 'P 1'
_symmetry_Int_Tables_number 1
_symmetry_space_group_name_Hall 'P 1'
_cell_length_a 5.0683
_cell_length_b 5.0683
_cell_length_c 5.0856
_cell_angle_alpha 90.00
_cell_angle_beta 90.00
_cell_angle_gamma 90.00
loop_
_atom_site_label
_atom_site_type_symbol
_atom_site_fract_x
_atom_site_fract_y
_atom_site_fract_z
Nb1 Nb 0.2943 0.2943 0.0000
Nb2 Nb 0.7943 0.2057 0.5000
Nb3 Nb 0.2057 0.7943 0.5000
Nb4 Nb 0.7057 0.7057 0.0000
S1 S 0.2181 0.7819 0.0000
S2 S 0.7181 0.7181 0.5000
S3 S 0.2819 0.2819 0.5000
S4 S 0.7819 0.2181 0.0000
# * space group: P4_2/mnm

=====

7.
# Nb21S8 PBE relaxed
data_Nb21S8
_symmetry_space_group_name_H-M 'P 1'
_symmetry_Int_Tables_number 1
_symmetry_space_group_name_Hall 'P 1'
_cell_length_a 12.0893
_cell_length_b 12.0893
_cell_length_c 12.0893
_cell_angle_alpha 91.12
_cell_angle_beta 91.12
_cell_angle_gamma 163.93
loop_
_atom_site_label
_atom_site_type_symbol
_atom_site_fract_x
_atom_site_fract_y
_atom_site_fract_z
Nb1 Nb 0.2781 0.0200 0.2981
Nb2 Nb 0.6154 0.8150 0.4304
Nb3 Nb 0.1850 0.6154 0.8004
Nb4 Nb 0.8150 0.3846 0.1996
Nb5 Nb 0.3846 0.1850 0.5696
Nb6 Nb 0.8086 0.8008 0.6094
Nb7 Nb 0.1992 0.8086 0.0078
Nb8 Nb 0.8008 0.1914 0.9922
Nb9 Nb 0.1914 0.1992 0.3906
Nb10 Nb 0.5487 0.6356 0.1843
Nb11 Nb 0.3644 0.5487 0.9131
Nb12 Nb 0.6356 0.4513 0.0869
Nb13 Nb 0.4513 0.3644 0.8157
Nb14 Nb 0.9800 0.2781 0.2580
Nb15 Nb 0.0200 0.7219 0.7420
Nb16 Nb 0.7219 0.9800 0.7019
Nb17 Nb 0.0811 0.4503 0.5314
Nb18 Nb 0.5497 0.0811 0.6308
Nb19 Nb 0.4503 0.9189 0.3692
Nb20 Nb 0.9189 0.5497 0.4686
Nb21 Nb 0.0000 0.0000 0.0000
S1 S 0.2131 0.3635 0.5766
S2 S 0.6365 0.2131 0.8496
S3 S 0.3635 0.7869 0.1504
S4 S 0.7869 0.6365 0.4234
S5 S 0.1375 0.0641 0.2016
S6 S 0.9359 0.1375 0.0734
S7 S 0.0641 0.8625 0.9266
S8 S 0.8625 0.9359 0.7984
# * space group: I4/m

=====

8.
# NbS PBE relaxed
data_NbS
_symmetry_space_group_name_H-M 'P 1'
_symmetry_Int_Tables_number 1
_symmetry_space_group_name_Hall 'P 1'
_cell_length_a 4.5165
_cell_length_b 3.2023
_cell_length_c 5.5423
_cell_angle_alpha 90.00
_cell_angle_beta 114.75
_cell_angle_gamma 90.00
loop_
_atom_site_label
_atom_site_type_symbol
_atom_site_fract_x
_atom_site_fract_y
_atom_site_fract_z
Nb1 Nb 0.6103 0.0000 0.4926
Nb2 Nb 0.6103 0.5000 0.9926
S1 S 0.2191 0.0000 0.6926
S2 S 0.2191 0.5000 0.1926
# * space group: Cm

=====

9.
# NbS2 PBE relaxed
data_NbS2
_symmetry_space_group_name_H-M 'P 1'
_symmetry_Int_Tables_number 1
_symmetry_space_group_name_Hall 'P 1'
_cell_length_a 3.3557
_cell_length_b 3.3557
_cell_length_c 7.1495
_cell_angle_alpha 90.00
_cell_angle_beta 90.00
_cell_angle_gamma 120.00
loop_
_atom_site_label
_atom_site_type_symbol
_atom_site_fract_x
_atom_site_fract_y
_atom_site_fract_z
Nb1 Nb 0.6667 0.3333 0.5000
S1 S 0.0000 0.0000 0.7192
S2 S 0.0000 0.0000 0.2808
# * space group: P-6m2

=====

10.
# NbS PBE relaxed
data_NbS
_symmetry_space_group_name_H-M 'P 1'
_symmetry_Int_Tables_number 1
_symmetry_space_group_name_Hall 'P 1'
_cell_length_a 3.3370
_cell_length_b 3.3370
_cell_length_c 11.3776
_cell_angle_alpha 90.00
_cell_angle_beta 90.00
_cell_angle_gamma 90.00
loop_
_atom_site_label
_atom_site_type_symbol
_atom_site_fract_x
_atom_site_fract_y
_atom_site_fract_z
Nb1 Nb 0.0000 0.0000 0.1698
Nb2 Nb 0.0000 0.5000 0.4198
Nb3 Nb 0.5000 0.5000 0.6698
Nb4 Nb 0.5000 0.0000 0.9198
S1 S 0.0000 0.0000 0.5907
S2 S 0.0000 0.5000 0.8407
S3 S 0.5000 0.5000 0.0907
S4 S 0.5000 0.0000 0.3407
# * space group: I4_1md

=====

What are the formation energy without anion corrections values for these records? In order: -0.707 -0.654 -0.678 -0.810 -0.297 -0.569 -0.568 -0.624 -1.028 -0.916 eV per atom.